[1]
First-principles (PBE-GGA) data for a relaxed structure of Ba4LaFe, as listed in the Alexandria database.

The structure in CIF format:
```
data_Ba4LaFe
_chemical_formula_sum 'Ba16 La4 Fe4'
_cell_length_a 10.4583
_cell_length_b 10.4583
_cell_length_c 10.4583
_cell_angle_alpha 90.00
_cell_angle_beta 90.00
_cell_angle_gamma 90.00
_space_group_name_H-M_alt 'F -4 3 m'
_space_group_IT_number 216
_space_group_name_Hall 'F -4 2 3'
loop_
_atom_site_label
_atom_site_fract_x
_atom_site_fract_y
_atom_site_fract_z
_atom_site_occupancy
Ba1 0.1246 0.1246 0.1246 1
La1 0.0000 0.0000 0.5000 1
Fe1 0.2500 0.2500 0.7500 1
```

Properties
energy relative to the elements = 916 meV/atom
V = 47.66 Å³ per atom

[2]
First-principles (PBE-GGA) data for a relaxed structure of Ba3LaFe, as listed in the Alexandria database.

The structure in CIF format:
```
data_Ba3LaFe
_chemical_formula_sum 'Ba3 La1 Fe1'
_cell_length_a 6.4213
_cell_length_b 6.4213
_cell_length_c 6.4213
_cell_angle_alpha 90.00
_cell_angle_beta 90.00
_cell_angle_gamma 90.00
_space_group_name_H-M_alt 'P m -3 m'
_space_group_IT_number 221
_space_group_name_Hall '-P 4 2 3'
loop_
_atom_site_label
_atom_site_fract_x
_atom_site_fract_y
_atom_site_fract_z
_atom_site_occupancy
Ba1 0.0000 0.0000 0.5000 1
La1 0.0000 0.0000 0.0000 1
Fe1 0.5000 0.5000 0.5000 1
```

Properties
energy relative to the elements = 1203 meV/atom
V = 52.96 Å³ per atom

[3]
First-principles (PBE-GGA) data for a relaxed structure of Ba3LaFe, as listed in the Alexandria database.

The structure in CIF format:
```
data_Ba3LaFe
_chemical_formula_sum 'Ba3 La1 Fe1'
_cell_length_a 6.1628
_cell_length_b 6.1628
_cell_length_c 6.1628
_cell_angle_alpha 90.00
_cell_angle_beta 90.00
_cell_angle_gamma 90.00
_space_group_name_H-M_alt 'P m -3 m'
_space_group_IT_number 221
_space_group_name_Hall '-P 4 2 3'
loop_
_atom_site_label
_atom_site_fract_x
_atom_site_fract_y
_atom_site_fract_z
_atom_site_occupancy
Ba1 0.0000 0.0000 0.5000 1
La1 0.5000 0.5000 0.5000 1
Fe1 0.0000 0.0000 0.0000 1
```

Properties
energy relative to the elements = 561 meV/atom
V = 46.81 Å³ per atom

[4]
First-principles (PBE-GGA) data for a relaxed structure of BaLaFe4, as listed in the Alexandria database.

The structure in CIF format:
```
data_BaLaFe4
_chemical_formula_sum 'Ba4 La4 Fe16'
_cell_length_a 7.6293
_cell_length_b 7.6293
_cell_length_c 7.6293
_cell_angle_alpha 90.00
_cell_angle_beta 90.00
_cell_angle_gamma 90.00
_space_group_name_H-M_alt 'F -4 3 m'
_space_group_IT_number 216
_space_group_name_Hall 'F -4 2 3'
loop_
_atom_site_label
_atom_site_fract_x
_atom_site_fract_y
_atom_site_fract_z
_atom_site_occupancy
Ba1 0.0000 0.0000 0.0000 1
La1 0.2500 0.2500 0.2500 1
Fe1 0.1215 0.1215 0.6215 1
```

Properties
energy relative to the elements = 411 meV/atom
V = 18.50 Å³ per atom

[5]
First-principles (PBE-GGA) data for a relaxed structure of BaLiLa2Fe, as listed in the Alexandria database.

The structure in CIF format:
```
data_BaLiLa2Fe
_chemical_formula_sum 'Ba1 Li1 La2 Fe1'
_cell_length_a 5.1972
_cell_length_b 5.1972
_cell_length_c 5.9550
_cell_angle_alpha 90.00
_cell_angle_beta 90.00
_cell_angle_gamma 90.00
_space_group_name_H-M_alt 'P 4/m m m'
_space_group_IT_number 123
_space_group_name_Hall '-P 4 2'
loop_
_atom_site_label
_atom_site_fract_x
_atom_site_fract_y
_atom_site_fract_z
_atom_site_occupancy
Ba1 0.0000 0.0000 0.0000 1
Li1 0.5000 0.5000 0.0000 1
La1 0.0000 0.5000 0.5000 1
Fe1 0.5000 0.5000 0.5000 1
```

Properties
energy relative to the elements = 178 meV/atom
V = 32.17 Å³ per atom

[6]
First-principles (PBE-GGA) data for a relaxed structure of BaLa2MgFe, as listed in the Alexandria database.

The structure in CIF format:
```
data_BaLa2MgFe
_chemical_formula_sum 'Ba1 La2 Mg1 Fe1'
_cell_length_a 5.3149
_cell_length_b 5.3149
_cell_length_c 5.6039
_cell_angle_alpha 90.00
_cell_angle_beta 90.00
_cell_angle_gamma 90.00
_space_group_name_H-M_alt 'P 4/m m m'
_space_group_IT_number 123
_space_group_name_Hall '-P 4 2'
loop_
_atom_site_label
_atom_site_fract_x
_atom_site_fract_y
_atom_site_fract_z
_atom_site_occupancy
Ba1 0.0000 0.0000 0.0000 1
La1 0.0000 0.5000 0.5000 1
Mg1 0.5000 0.5000 0.0000 1
Fe1 0.5000 0.5000 0.5000 1
```

Properties
energy relative to the elements = 79 meV/atom
V = 31.66 Å³ per atom

[7]
First-principles (PBE-GGA) data for a relaxed structure of Ba2LaFeMo, as listed in the Alexandria database.

The structure in CIF format:
```
data_Ba2LaFeMo
_chemical_formula_sum 'Ba2 La1 Fe1 Mo1'
_cell_length_a 6.1531
_cell_length_b 6.1531
_cell_length_c 4.4999
_cell_angle_alpha 90.00
_cell_angle_beta 90.00
_cell_angle_gamma 90.00
_space_group_name_H-M_alt 'P 4/m m m'
_space_group_IT_number 123
_space_group_name_Hall '-P 4 2'
loop_
_atom_site_label
_atom_site_fract_x
_atom_site_fract_y
_atom_site_fract_z
_atom_site_occupancy
Ba1 0.0000 0.5000 0.0000 1
La1 0.0000 0.0000 0.5000 1
Fe1 0.5000 0.5000 0.0000 1
Mo1 0.5000 0.5000 0.5000 1
```

Properties
energy relative to the elements = 934 meV/atom
V = 34.07 Å³ per atom

[8]
First-principles (PBE-GGA) data for a relaxed structure of BaLa2FeN4, as listed in the Alexandria database.

The structure in CIF format:
```
data_BaLa2FeN4
_chemical_formula_sum 'Ba4 La8 Fe4 N16'
_cell_length_a 3.6542
_cell_length_b 12.5919
_cell_length_c 12.3552
_cell_angle_alpha 90.00
_cell_angle_beta 90.00
_cell_angle_gamma 90.00
_space_group_name_H-M_alt 'C m c m'
_space_group_IT_number 63
_space_group_name_Hall '-C 2c 2'
loop_
_atom_site_label
_atom_site_fract_x
_atom_site_fract_y
_atom_site_fract_z
_atom_site_occupancy
Ba1 0.0000 0.0978 0.2500 1
La1 0.0000 0.3689 0.0454 1
Fe1 0.0000 0.1836 0.7500 1
N1 0.0000 0.0000 0.0000 1
N2 0.0000 0.2592 0.6264 1
N3 0.0000 0.3768 0.2500 1
```

Properties
V = 17.77 Å³ per atom
uncorrected formation energy = -0.81 eV/atom